The following is a DFT calculation (GGA-PBE) of a relaxed structure of Rb5Te2Se6.

The value obtained for the density of states at the Fermi level is 3.990 states/eV/cell. The total magnetic moment is 0.000 μB/cell. The final energy comes out at -3.181 eV per atom.

It has space group Pbam (No. 55), with a = 13.597 Å, b = 13.726 Å, c = 5.571 Å, α = 90.00°, β = 90.00° and γ = 90.00°. The inequivalent atoms are Rb at (0.000, 0.000, 0.000), Rb at (0.037, 0.281, 0.000), Rb at (0.204, 0.549, 0.000), Te at (0.235, 0.298, 0.500), Se at (0.095, 0.425, 0.500), Se at (0.139, 0.134, 0.500) and Se at (0.209, 0.808, 0.000).